An optimized crystal structure of KReTc2, computed with PBE.

Values from the calculation:
Distance to the lowest polymorph of the same formula, meV/atom: 818
Total DFT energy (no corrections), eV/atom: -7.0398
E_form, eV per atom: 1.53
Space group: F-43m, No. 216

Unit cell a=4.5380 b=4.5380 c=4.5380 alpha=60.00 beta=60.00 gamma=60.00
Fractional coordinates of all 4 atoms:
K1 0.0000 0.0000 0.0000
Re1 0.2500 0.2500 0.2500
Tc1 0.5000 0.5000 0.5000
Tc2 0.7500 0.7500 0.7500

---

An optimized crystal structure of La6GaGe2, computed with PBE.

Values from the calculation:
Distance to the lowest polymorph of the same formula, meV/atom: 0
Total DFT energy (no corrections), eV/atom: -5.1860
E_form, eV per atom: -0.54
Space group: Immm, No. 71

Unit cell a=8.9579 b=8.9579 c=8.9579 alpha=111.87 beta=108.81 gamma=107.76
Fractional coordinates of all 18 atoms:
La1 0.0482 0.2456 0.8027
La2 0.1708 0.4598 0.2890
La3 0.1708 0.8818 0.7110
La4 0.3248 0.2345 0.5593
La5 0.3248 0.7655 0.0903
La6 0.4429 0.2456 0.1973
La7 0.5571 0.7544 0.8027
La8 0.6752 0.2345 0.9097
La9 0.6752 0.7655 0.4407
La10 0.8292 0.1182 0.2890
La11 0.8292 0.5402 0.7110
La12 0.9518 0.7544 0.1973
Ga1 0.0000 0.0000 0.0000
Ga2 0.5000 0.5000 0.0000
Ge1 0.1406 0.5000 0.6406
Ge2 0.3807 0.8807 0.5000
Ge3 0.6193 0.1193 0.5000
Ge4 0.8594 0.5000 0.3594

---

An optimized crystal structure of La3PmCu2, computed with PBE.

Values from the calculation:
Total DFT energy (no corrections), eV/atom: -4.7273
E_form, eV per atom: -0.11
Space group: Pmc2_1, No. 26

Unit cell a=5.0822 b=9.1613 c=7.1985 alpha=90.00 beta=90.00 gamma=90.00
Fractional coordinates of all 12 atoms:
La1 0.0000 0.0794 0.0000
La2 0.0000 0.3428 0.3585
La3 0.0000 0.6572 0.8585
La4 0.0000 0.9206 0.5000
La5 0.5000 0.1593 0.6453
La6 0.5000 0.8407 0.1453
Pm1 0.5000 0.4243 0.0085
Pm2 0.5000 0.5757 0.5085
Cu1 0.0000 0.3482 0.7690
Cu2 0.0000 0.6518 0.2690
Cu3 0.5000 0.1578 0.2375
Cu4 0.5000 0.8422 0.7375

---

An optimized crystal structure of RbCrBH2, computed with PBE.

Values from the calculation:
Total DFT energy (no corrections), eV/atom: -3.3530
Space group: P4/mmm, No. 123

Unit cell a=3.8504 b=3.8504 c=7.3525 alpha=90.00 beta=90.00 gamma=90.00
Fractional coordinates of all 5 atoms:
Rb1 0.0000 0.0000 0.0000
Cr1 0.0000 0.0000 0.5000
B1 0.5000 0.5000 0.0000
H1 0.0000 0.5000 0.5000
H2 0.5000 0.0000 0.5000

---

An optimized crystal structure of CsNdAgSe2, computed with PBE.

Values from the calculation:
Total DFT energy (no corrections), eV/atom: -4.1448
Energy relative to the elements, uncorrected, eV/atom: -1.06
Space group: P2/c, No. 13

Unit cell a=8.3854 b=5.1171 c=8.4717 alpha=90.00 beta=97.66 gamma=90.00
Fractional coordinates of all 10 atoms:
Cs1 0.0000 0.1217 0.2500
Cs2 0.0000 0.8783 0.7500
Nd1 0.5000 0.4947 0.7500
Nd2 0.5000 0.5053 0.2500
Ag1 0.5000 0.0000 0.0000
Ag2 0.5000 0.0000 0.5000
Se1 0.2710 0.3737 0.9709
Se2 0.2710 0.6263 0.4709
Se3 0.7290 0.3737 0.5291
Se4 0.7290 0.6263 0.0291

---

An optimized crystal structure of RhC2F, computed with PBE.

Values from the calculation:
Distance to the lowest polymorph of the same formula, meV/atom: 0
Total DFT energy (no corrections), eV/atom: -5.6581
Energy relative to the elements, uncorrected, eV/atom: 1.26
Space group: I-42d, No. 122

Unit cell a=5.6781 b=5.6781 c=5.6781 alpha=129.30 beta=129.30 gamma=74.54
Fractional coordinates of all 8 atoms:
Rh1 0.0000 0.0000 0.0000
Rh2 0.7500 0.2500 0.5000
C1 0.0661 0.6250 0.9411
C2 0.3750 0.3161 0.4411
C3 0.6839 0.1250 0.0589
C4 0.8750 0.9339 0.5589
F1 0.2500 0.7500 0.5000
F2 0.5000 0.5000 0.0000

---

An optimized crystal structure of Ti3Mn2Au, computed with PBE.

Values from the calculation:
Total DFT energy (no corrections), eV/atom: -7.8864
E_form, eV per atom: -0.34
Space group: P4/mmm, No. 123

Unit cell a=3.0013 b=3.0013 c=9.6929 alpha=90.00 beta=90.00 gamma=90.00
Fractional coordinates of all 6 atoms:
Ti1 0.0000 0.0000 0.0000
Ti2 0.0000 0.0000 0.2978
Ti3 0.0000 0.0000 0.7022
Mn1 0.5000 0.5000 0.1577
Mn2 0.5000 0.5000 0.8423
Au1 0.5000 0.5000 0.5000

---

An optimized crystal structure of Tb4Sm3Tm, computed with PBE.

Values from the calculation:
Distance to the lowest polymorph of the same formula, meV/atom: 0
Total DFT energy (no corrections), eV/atom: -4.6260
E_form, eV per atom: 0.02
Space group: Pmn2_1, No. 31

Unit cell a=11.4006 b=7.3017 c=6.3085 alpha=90.00 beta=90.00 gamma=90.00
Fractional coordinates of all 16 atoms:
Tb1 0.0000 0.1231 0.0000
Tb2 0.0000 0.8753 0.5024
Tb3 0.2479 0.1244 0.3341
Tb4 0.2521 0.8756 0.8341
Tb5 0.5000 0.1247 0.0024
Tb6 0.5000 0.8769 0.5000
Tb7 0.7479 0.8756 0.8341
Tb8 0.7521 0.1244 0.3341
Sm1 0.0000 0.6259 0.0006
Sm2 0.2499 0.3749 0.8332
Sm3 0.2501 0.6251 0.3332
Sm4 0.5000 0.3741 0.5006
Sm5 0.7501 0.3749 0.8332
Sm6 0.7499 0.6251 0.3332
Tm1 0.0000 0.3730 0.4998
Tm2 0.5000 0.6270 0.9998

---

An optimized crystal structure of Pu2Tl2S5, computed with PBE.

Values from the calculation:
Total DFT energy (no corrections), eV/atom: -7.0548
Energy relative to the elements, uncorrected, eV/atom: -1.05
Space group: Cmce, No. 64

Unit cell a=8.7560 b=8.7560 c=7.5508 alpha=90.00 beta=90.00 gamma=51.02
Fractional coordinates of all 18 atoms:
Pu1 0.1659 0.8341 0.8345
Pu2 0.3341 0.6659 0.3345
Pu3 0.6659 0.3341 0.6655
Pu4 0.8341 0.1659 0.1655
Tl1 0.1996 0.1996 0.5000
Tl2 0.3004 0.3004 0.0000
Tl3 0.6996 0.6996 0.0000
Tl4 0.8004 0.8004 0.5000
S1 0.0000 0.0000 0.5000
S2 0.0354 0.7478 0.1436
S3 0.2478 0.5354 0.6436
S4 0.2522 0.9646 0.1436
S5 0.4646 0.7522 0.6436
S6 0.5000 0.5000 0.0000
S7 0.5354 0.2478 0.3564
S8 0.7478 0.0354 0.8564
S9 0.7522 0.4646 0.3564
S10 0.9646 0.2522 0.8564

---

An optimized crystal structure of CaTlBiPtN, computed with PBE.

Values from the calculation:
Distance to the lowest polymorph of the same formula, meV/atom: 85
Total DFT energy (no corrections), eV/atom: -4.6920
Energy relative to the elements, uncorrected, eV/atom: -0.17
Space group: P1, No. 1

Unit cell a=3.9830 b=6.0062 c=6.0601 alpha=60.93 beta=89.99 gamma=70.70
Fractional coordinates of all 5 atoms:
Ca1 0.0000 0.0000 0.0000
Tl1 0.2008 0.6001 0.7366
Bi1 0.4063 0.1870 0.4494
Pt1 0.7174 0.5661 0.3854
N1 0.5006 0.9985 0.1992

---

An optimized crystal structure of Tm2AlOs3, computed with PBE.

Values from the calculation:
Total DFT energy (no corrections), eV/atom: -8.1505
E_form, eV per atom: -0.42
Space group: R-3m, No. 166

Unit cell a=5.2823 b=5.2823 c=5.2823 alpha=61.10 beta=61.10 gamma=61.10
Fractional coordinates of all 6 atoms:
Tm1 0.1222 0.1222 0.1222
Tm2 0.8778 0.8778 0.8778
Al1 0.5000 0.5000 0.5000
Os1 0.0000 0.5000 0.5000
Os2 0.5000 0.0000 0.5000
Os3 0.5000 0.5000 0.0000

---

An optimized crystal structure of Ho4NiIr3, computed with PBE.

Values from the calculation:
Total DFT energy (no corrections), eV/atom: -7.0895
E_form, eV per atom: -0.76
Space group: Pmmm, No. 47

Unit cell a=3.3037 b=4.8849 c=9.7603 alpha=90.00 beta=90.00 gamma=90.00
Fractional coordinates of all 8 atoms:
Ho1 0.0000 0.0000 0.0000
Ho2 0.0000 0.0000 0.5000
Ho3 0.0000 0.5000 0.2486
Ho4 0.0000 0.5000 0.7514
Ni1 0.5000 0.5000 0.0000
Ir1 0.5000 0.0000 0.2480
Ir2 0.5000 0.0000 0.7520
Ir3 0.5000 0.5000 0.5000

---

An optimized crystal structure of La6NdDyTm2, computed with PBE.

Values from the calculation:
Total DFT energy (no corrections), eV/atom: -4.5960
E_form, eV per atom: 0.19
Space group: C2/m, No. 12

Unit cell a=6.7177 b=6.7177 c=8.9555 alpha=101.06 beta=101.06 gamma=64.50
Fractional coordinates of all 10 atoms:
La1 0.0981 0.5402 0.1927
La2 0.1405 0.1405 0.4386
La3 0.4598 0.9019 0.8073
La4 0.5402 0.0981 0.1927
La5 0.8595 0.8595 0.5614
La6 0.9019 0.4598 0.8073
Nd1 0.5000 0.5000 0.5000
Dy1 0.0000 0.0000 0.0000
Tm1 0.4108 0.4108 0.8393
Tm2 0.5892 0.5892 0.1607

---

An optimized crystal structure of Y2TmAlS6, computed with PBE.

Values from the calculation:
Total DFT energy (no corrections), eV/atom: -6.3460
Energy relative to the elements, uncorrected, eV/atom: -1.76
Space group: R3, No. 146

Unit cell a=7.0604 b=7.0604 c=7.0604 alpha=56.71 beta=56.71 gamma=56.71
Fractional coordinates of all 10 atoms:
Y1 0.0000 0.0000 0.0000
Y2 0.4983 0.4983 0.4983
Tm1 0.2040 0.2040 0.2040
Al1 0.7009 0.7009 0.7009
S1 0.0615 0.4383 0.8136
S2 0.3356 0.9103 0.5884
S3 0.4383 0.8136 0.0615
S4 0.5884 0.3356 0.9103
S5 0.8136 0.0615 0.4383
S6 0.9103 0.5884 0.3356

---

An optimized crystal structure of La3YH8, computed with PBE.

Values from the calculation:
Total DFT energy (no corrections), eV/atom: -4.6757
Space group: Pm-3m, No. 221

Unit cell a=5.5201 b=5.5201 c=5.5201 alpha=90.00 beta=90.00 gamma=90.00
Fractional coordinates of all 12 atoms:
La1 0.0000 0.0000 0.5000
La2 0.0000 0.5000 0.0000
La3 0.5000 0.0000 0.0000
Y1 0.5000 0.5000 0.5000
H1 0.2616 0.2616 0.2616
H2 0.2616 0.2616 0.7384
H3 0.2616 0.7384 0.2616
H4 0.2616 0.7384 0.7384
H5 0.7384 0.2616 0.2616
H6 0.7384 0.2616 0.7384
H7 0.7384 0.7384 0.2616
H8 0.7384 0.7384 0.7384

---

An optimized crystal structure of AcSiO3, computed with PBE.

Values from the calculation:
Total DFT energy (no corrections), eV/atom: -7.8094
Energy relative to the elements, uncorrected, eV/atom: -2.93
Space group: P2_1/c, No. 14

Unit cell a=6.1745 b=6.5127 c=9.6887 alpha=90.00 beta=121.13 gamma=90.00
Fractional coordinates of all 20 atoms:
Ac1 0.2406 0.1236 0.2695
Ac2 0.2406 0.3764 0.7695
Ac3 0.7594 0.6236 0.2305
Ac4 0.7594 0.8764 0.7305
Si1 0.1639 0.6086 0.0781
Si2 0.1639 0.8914 0.5781
Si3 0.8361 0.1086 0.4219
Si4 0.8361 0.3914 0.9219
O1 0.0234 0.6934 0.6074
O2 0.0234 0.8066 0.1074
O3 0.3028 0.6620 0.9751
O4 0.3028 0.8380 0.4751
O5 0.3799 0.0094 0.7438
O6 0.3799 0.4906 0.2438
O7 0.6201 0.5094 0.7562
O8 0.6201 0.9906 0.2562
O9 0.6972 0.1620 0.5249
O10 0.6972 0.3380 0.0249
O11 0.9766 0.1934 0.8926
O12 0.9766 0.3066 0.3926

---

An optimized crystal structure of BaLi2CdCl8, computed with PBE.

Values from the calculation:
Total DFT energy (no corrections), eV/atom: -3.0842
Energy relative to the elements, uncorrected, eV/atom: -1.30
Space group: P-3, No. 147

Unit cell a=6.5704 b=6.5704 c=8.3837 alpha=90.00 beta=90.00 gamma=120.00
Fractional coordinates of all 12 atoms:
Ba1 0.0000 0.0000 0.0000
Li1 0.3333 0.6667 0.7107
Li2 0.6667 0.3333 0.2893
Cd1 0.0000 0.0000 0.5000
Cl1 0.0169 0.6992 0.3059
Cl2 0.3008 0.3177 0.3059
Cl3 0.3177 0.0169 0.6941
Cl4 0.3333 0.6667 0.0016
Cl5 0.6667 0.3333 0.9984
Cl6 0.6823 0.9831 0.3059
Cl7 0.6992 0.6823 0.6941
Cl8 0.9831 0.3008 0.6941

---

An optimized crystal structure of LiCeGdSi, computed with PBE.

Values from the calculation:
Total DFT energy (no corrections), eV/atom: -7.0988
Energy relative to the elements, uncorrected, eV/atom: -0.26
Space group: F-43m, No. 216

Unit cell a=5.0574 b=5.0574 c=5.0574 alpha=60.00 beta=60.00 gamma=60.00
Fractional coordinates of all 4 atoms:
Li1 0.0000 0.0000 0.0000
Ce1 0.2500 0.2500 0.2500
Gd1 0.7500 0.7500 0.7500
Si1 0.5000 0.5000 0.5000

---

An optimized crystal structure of AgSbRuO6, computed with PBE.

Values from the calculation:
Total DFT energy (no corrections), eV/atom: -5.9531
Energy relative to the elements, uncorrected, eV/atom: -0.84
Space group: P-31c, No. 163

Unit cell a=5.2914 b=5.2914 c=9.7119 alpha=90.00 beta=90.00 gamma=120.00
Fractional coordinates of all 18 atoms:
Ag1 0.0000 0.0000 0.0000
Ag2 0.0000 0.0000 0.5000
Sb1 0.3333 0.6667 0.2500
Sb2 0.6667 0.3333 0.7500
Ru1 0.3333 0.6667 0.7500
Ru2 0.6667 0.3333 0.2500
O1 0.0097 0.3795 0.6373
O2 0.0097 0.6302 0.8627
O3 0.3698 0.3795 0.8627
O4 0.3698 0.9903 0.6373
O5 0.3795 0.0097 0.1373
O6 0.3795 0.3698 0.3627
O7 0.6205 0.6302 0.6373
O8 0.6205 0.9903 0.8627
O9 0.6302 0.0097 0.3627
O10 0.6302 0.6205 0.1373
O11 0.9903 0.3698 0.1373
O12 0.9903 0.6205 0.3627

---

An optimized crystal structure of Tb3PmOs, computed with PBE.

Values from the calculation:
Distance to the lowest polymorph of the same formula, meV/atom: 8
Total DFT energy (no corrections), eV/atom: -6.0257
E_form, eV per atom: -0.05
Space group: Pmn2_1, No. 31

Unit cell a=7.7348 b=6.4894 c=6.3097 alpha=90.00 beta=90.00 gamma=90.00
Fractional coordinates of all 10 atoms:
Tb1 0.0000 0.1606 0.0000
Tb2 0.2492 0.6776 0.0041
Tb3 0.2508 0.3224 0.5041
Tb4 0.5000 0.8394 0.5000
Tb5 0.7492 0.3224 0.5041
Tb6 0.7508 0.6776 0.0041
Pm1 0.0000 0.8452 0.5079
Pm2 0.5000 0.1548 0.0079
Os1 0.0000 0.4977 0.2536
Os2 0.5000 0.5023 0.7536